Here is a relaxed Fe2Co2Mo crystal from Alexandria. Energies are from GGA-PBEsol.

Properties
Formation energy: 0.378 eV/atom
D(E_F): 1.52 states/eV per atom
Calculated volume: 58.6 Å³ per cell
SG: No. 139

extended XYZ file:
```
5
Lattice="-2.541 -1.691 1.289 1.179 -2.792 -1.339 3.533 1.326 4.447" Properties=species:S:1:pos:R:3 pbc="T T T"
Co -0.108 -2.426 0.864
Co 2.279 -0.732 3.533
Fe 2.016 -1.854 1.541
Fe 0.156 -1.303 2.855
Mo 0.000 0.000 0.000
```



Here is a relaxed BaCaCu2 crystal from Alexandria. Energies are from GGA-PBEsol.

Properties
Formation energy: 0.115 eV/atom
D(E_F): 0.72 states/eV per atom
Calculated volume: 100.6 Å³ per cell
SG: No. 225
ΔE to the lowest computed polymorph: 115.5 meV/atom

extended XYZ file:
```
4
Lattice="5.220 0.000 0.000 2.610 4.521 0.000 2.610 1.507 4.262" Properties=species:S:1:pos:R:3 pbc="T T T"
Ca 0.000 0.000 0.000
Ba 5.220 3.014 2.131
Cu 2.610 1.507 1.066
Cu 7.830 4.521 3.197
```



Here is a relaxed FeNiTeN2 crystal from Alexandria. Energies are from GGA-PBEsol.

Properties
Raw formation energy: 718 meV per atom
D(E_F): 0.70 states/eV per atom
Calculated volume: 67.9 Å³ per cell
SG: No. 123

extended XYZ file:
```
5
Lattice="3.514 0.000 0.000 0.000 3.514 0.000 0.000 0.000 5.500" Properties=species:S:1:pos:R:3 pbc="T T T"
Ni 1.757 1.757 2.750
Te 0.000 0.000 2.750
Fe 0.000 0.000 0.000
N 0.000 1.757 0.000
N 1.757 0.000 0.000
```



Here is a relaxed Tl2CoNi crystal from Alexandria. Energies are from GGA-PBEsol.

Properties
Formation energy: 0.382 eV/atom
D(E_F): 0.92 states/eV per atom
Calculated volume: 67.7 Å³ per cell
SG: No. 38

extended XYZ file:
```
4
Lattice="-0.919 2.533 -2.308 -3.801 -0.578 0.878 0.767 2.048 4.668" Properties=species:S:1:pos:R:3 pbc="T T T"
Co -0.339 2.563 0.220
Ni -2.325 1.347 -0.323
Tl -0.165 4.431 2.201
Tl -1.733 1.507 2.343
```



Here is a relaxed MnHgTeI2 crystal from Alexandria. Energies are from GGA-PBEsol.

Properties
Raw formation energy: 135 meV per atom
D(E_F): 0.85 states/eV per atom
Calculated volume: 152.7 Å³ per cell
SG: No. 123

extended XYZ file:
```
5
Lattice="5.272 0.000 0.000 0.000 5.381 0.000 0.000 0.000 5.381" Properties=species:S:1:pos:R:3 pbc="T T T"
I 0.000 0.000 2.691
I 0.000 2.691 0.000
Te 2.636 0.000 0.000
Hg 2.636 2.691 2.691
Mn 0.000 0.000 0.000
```



Here is a relaxed MnPtS3 crystal from Alexandria. Energies are from GGA-PBEsol.

Properties
Raw formation energy: 596 meV per atom
D(E_F): 1.07 states/eV per atom
Calculated volume: 100.3 Å³ per cell
SG: No. 221

extended XYZ file:
```
5
Lattice="4.646 0.000 0.000 0.000 4.646 0.000 0.000 0.000 4.646" Properties=species:S:1:pos:R:3 pbc="T T T"
S 0.000 2.323 0.000
S 0.000 0.000 2.323
S 2.323 0.000 0.000
Mn 2.323 2.323 2.323
Pt 0.000 0.000 0.000
```